This record from Alexandria describes a geometry-optimized LiMo6Se8 structure. The functional is PBE. Values from VASP.

The structure in Quantum ESPRESSO input format:
```
&SYSTEM
  ibrav = 0, nat = 15, ntyp = 3
/
ATOMIC_SPECIES
Li 6.94 Li.upf
Mo 95.94 Mo.upf
Se 78.96 Se.upf
ATOMIC_POSITIONS angstrom
Li 0.0000 0.0000 0.0000
Mo -0.9057 -1.2678 4.5711
Mo -0.6452 1.4182 4.5711
Mo -1.5508 0.1504 6.8643
Mo 1.5508 -0.1504 4.5711
Mo 0.6452 -1.4182 6.8643
Mo 0.9057 1.2678 6.8643
Se -2.9962 0.3161 4.7545
Se 0.0000 0.0000 2.5506
Se -1.7718 -2.4367 6.6809
Se 1.2243 -2.7528 4.7545
Se -1.2244 2.7528 6.6809
Se 1.7718 2.4367 4.7545
Se 0.0000 0.0000 8.8849
Se 2.9962 -0.3161 6.6809
CELL_PARAMETERS angstrom
4.8665 2.8097 3.8118
-4.8665 2.8097 3.8118
0.0000 -5.6193 3.8118
```

Summary:
The space group is R-3, No. 148. For the raw formation energy, the calculation gives -0.599 eV/atom. The calculation puts the size of the total moment at 0.00 Bohr magnetons per cell.